# 1
Entry from Alexandria: a geometry-optimized Tb4CeHoTm2 structure (PBE).

Cell lengths 4.9919, 4.9919, 10.0047 Å; angles 90.00, 90.00, 90.00 degrees
Space group P4/mmm (No. 123)
Inequivalent atoms, fractional coordinates:
Tb: 0.0000 0.5000 0.2493
Ce: 0.0000 0.0000 0.0000
Ho: 0.5000 0.5000 0.5000
Tm: 0.0000 0.0000 0.5000
Tm: 0.5000 0.5000 0.0000

Values from the calculation:
uncorrected energy = -4.703 eV/atom

---

# 2
Entry from Alexandria: a geometry-optimized Th4GeTeAs2 structure (PBE).

Cell lengths 7.4916, 4.3074, 7.5134 Å; angles 90.00, 109.26, 90.00 degrees
Space group P2/m (No. 10)
Inequivalent atoms, fractional coordinates:
Th: 0.2308 0.0000 0.2287
Th: 0.2421 0.5000 0.7615
Ge: 0.5000 0.0000 0.0000
Te: 0.5000 0.5000 0.5000
As: 0.0000 0.0000 0.5000
As: 0.0000 0.5000 0.0000

Values from the calculation:
formation energy (no corrections) = -1.176 eV/atom

---

What are the size of the total moment values for these records? In order: 0.12; 0.00 μB/atom.